Compound: Ca2ZnAuN
Source: the Alexandria database
Functional: PBE-GGA
Structure: relaxed

The space group is P4/mmm (No. 123) and the conventional cell measures 4.955, 4.955 and 3.981 Å, with angles of 90.00, 90.00 and 90.00 degrees. The asymmetric unit holds Ca at (0.000, 0.500, 0.000), Zn at (0.000, 0.000, 0.500), Au at (0.500, 0.500, 0.500) and N at (0.000, 0.000, 0.000).

For the calculated volume, the calculation gives 19.545 Å³ per atom. The energy above the most stable polymorph in this dataset is 81 meV per atom. As for the energy relative to the elements, uncorrected: -0.58 eV per atom. As for the magnetization: 0.00 μB/cell.